The following is a DFT calculation (PBE-GGA) of Cs5K2Au5 after structural relaxation.

E = -52.07 eV per cell
ΔE to the lowest computed polymorph = 0.000 eV per atom
magnetization = 0.00 μB per cell
formation energy from the elements = -3.19 eV/f.u.

Cell: 16.763 4.994 14.762 Å, 90.00 106.53 90.00°
Space group C2/m (No. 12)
Asymmetric unit:
Cs: 0.000 0.000 0.000 x2
Cs: 0.159 0.000 0.551 x4
Cs: 0.243 0.000 0.851 x4
K: 0.036 0.500 0.288 x4
Au: 0.000 0.500 0.500 x2
Au: 0.115 0.500 0.915 x4
Au: 0.181 0.000 0.304 x4

***

The following is a DFT calculation (PBE-GGA) of Cs3K3Au4 after structural relaxation.

E = -42.97 eV per cell
magnetization = 0.95 μB per cell
formation energy from the elements = -2.52 eV/f.u.

Cell: 5.155 12.878 12.704 Å, 90.00 90.00 90.00°
Space group Amm2 (No. 38)
Asymmetric unit:
Cs: 0.000 0.000 0.000 x2
Cs: 0.000 0.166 0.337 x4
K: 0.000 0.000 0.671 x2
K: 0.500 0.246 0.587 x4
Au: 0.500 0.000 0.225 x2
Au: 0.500 0.000 0.461 x2
Au: 0.500 0.114 0.827 x4

***

The following is a DFT calculation (PBE-GGA) of Cs3K4Au4 after structural relaxation.

E = -43.93 eV per cell
ΔE to the lowest computed polymorph = 0.054 eV per atom
magnetization = 0.00 μB per cell
formation energy from the elements = -1.90 eV/f.u.

Cell: 10.275 10.275 10.275 Å, 90.00 90.00 90.00°
Space group I-43m (No. 217)
Asymmetric unit:
Cs: 0.000 0.000 0.500 x6
K: 0.147 0.147 0.853 x8
Au: 0.173 0.173 0.173 x8

***

The following is a DFT calculation (PBE-GGA) of CsK8Au2 after structural relaxation.

E = -34.59 eV per cell
magnetization = 0.00 μB per cell
formation energy from the elements = -1.11 eV/f.u.

Cell: 10.870 16.677 7.025 Å, 90.00 98.58 90.00°
Space group C2/m (No. 12)
Asymmetric unit:
Cs: 0.000 0.000 0.000 x2
K: 0.000 0.277 0.000 x4
K: 0.084 0.500 0.753 x4
K: 0.200 0.147 0.577 x8
Au: 0.000 0.318 0.500 x4

***

The following is a DFT calculation (PBE-GGA) of Cs4K2Au after structural relaxation.

E = -18.76 eV per cell
ΔE to the lowest computed polymorph = 0.003 eV per atom
magnetization = 0.00 μB per cell
formation energy from the elements = -0.49 eV/f.u.

Cell: 17.441 7.121 9.462 Å, 90.00 114.63 90.00°
Space group C2/m (No. 12)
Asymmetric unit:
Cs: 0.030 0.000 0.242 x4
Cs: 0.145 0.500 0.796 x4
K: 0.195 0.500 0.309 x4
Au: 0.000 0.500 0.000 x2

***

The following is a DFT calculation (PBE-GGA) of Cs3K4Au4 after structural relaxation.

E = -45.12 eV per cell
ΔE to the lowest computed polymorph = 0.000 eV per atom
magnetization = 0.00 μB per cell
formation energy from the elements = -2.50 eV/f.u.

Cell: 4.896 10.373 19.120 Å, 90.00 90.00 90.00°
Space group Immm (No. 71)
Asymmetric unit:
Cs: 0.000 0.000 0.000 x2
Cs: 0.000 0.500 0.103 x4
K: 0.000 0.308 0.328 x8
Au: 0.000 0.000 0.243 x4
Au: 0.000 0.218 0.500 x4

***

The following is a DFT calculation (PBE-GGA) of Cs4KAu2 after structural relaxation.

E = -36.91 eV per cell
ΔE to the lowest computed polymorph = 0.000 eV per atom
magnetization = 1.87 μB per cell
formation energy from the elements = -1.24 eV/f.u.

Cell: 6.3113 6.3113 35.9832 Å, 90.00 90.00 120.00°
Space group R-3m (No. 166, hexagonal axes)
Asymmetric unit:
Cs: 0.0000 0.0000 0.1000 x6
Cs: 0.0000 0.0000 0.2980 x6
K: 0.0000 0.0000 0.5000 x3
Au: 0.0000 0.0000 0.4023 x6

***

The following is a DFT calculation (PBE-GGA) of Cs5K2Au after structural relaxation.

E = -39.18 eV per cell
magnetization = 0.00 μB per cell
formation energy from the elements = -0.06 eV/f.u.

Cell: 7.225 25.200 18.026 Å, 90.00 90.00 90.00°
Space group Cmcm (No. 63)
Asymmetric unit:
Cs: 0.000 0.069 0.115 x8
Cs: 0.000 0.271 0.099 x8
Cs: 0.000 0.314 0.750 x4
K: 0.000 0.117 0.635 x8
Au: 0.000 0.174 0.250 x4

***

The following is a DFT calculation (PBE-GGA) of Cs12KAu6 after structural relaxation.

E = -70.59 eV per cell
magnetization = 0.00 μB per cell
formation energy from the elements = -4.29 eV/f.u.

Cell: 13.475 13.475 13.475 Å, 90.00 90.00 90.00°
Space group Im-3 (No. 204)
Asymmetric unit:
Cs: 0.000 0.180 0.328 x24
K: 0.000 0.000 0.000 x2
Au: 0.000 0.391 0.500 x12

***

The following is a DFT calculation (PBE-GGA) of Cs12K5Au3 after structural relaxation.

E = -27.03 eV per cell
ΔE to the lowest computed polymorph = 0.000 eV per atom
magnetization = 0.00 μB per cell
formation energy from the elements = -1.47 eV/f.u.

Cell: 19.3956 19.3956 5.2802 Å, 90.00 90.00 120.00°
Space group P-62m (No. 189)
Asymmetric unit:
Cs: 0.0000 0.1989 0.0000 x3
Cs: 0.0000 0.4662 0.0000 x3
Cs: 0.2151 0.4405 0.5000 x6
K: 0.0000 0.7258 0.0000 x3
K: 0.3333 0.6667 0.0000 x2
Au: 0.0000 0.3313 0.5000 x3

***

The following is a DFT calculation (PBE-GGA) of Cs3K2Au2 after structural relaxation.

E = -25.18 eV per cell
ΔE to the lowest computed polymorph = 0.012 eV per atom
magnetization = 0.00 μB per cell
formation energy from the elements = -1.28 eV/f.u.

Cell: 16.364 5.265 9.375 Å, 90.00 100.11 90.00°
Space group C2/m (No. 12)
Asymmetric unit:
Cs: 0.000 0.000 0.000 x2
Cs: 0.209 0.500 0.294 x4
K: 0.069 0.500 0.671 x4
Au: 0.072 0.000 0.428 x4

***

The following is a DFT calculation (PBE-GGA) of Cs5K2Au5 after structural relaxation.

E = -51.99 eV per cell
ΔE to the lowest computed polymorph = 0.003 eV per atom
magnetization = 0.00 μB per cell
formation energy from the elements = -3.15 eV/f.u.

Cell: 10.545 6.094 16.603 Å, 90.00 102.16 90.00°
Space group C2/m (No. 12)
Asymmetric unit:
Cs: 0.000 0.000 0.000 x2
Cs: 0.188 0.000 0.564 x4
Cs: 0.217 0.500 0.152 x4
K: 0.070 0.500 0.709 x4
Au: 0.000 0.500 0.500 x2
Au: 0.103 0.000 0.309 x4
Au: 0.140 0.500 0.921 x4